First-principles (PBE-GGA) data for a relaxed Ba2As3Au5 crystal, as listed in Alexandria via LeMat-Bulk.

```
Ba2As3Au5
1.0
5.055 0.000 0.000
0.000 5.055 0.000
0.000 0.000 9.746
Ba As Au
2 3 5
Direct
0.000 0.500 0.243
0.500 0.000 0.757
0.000 0.500 0.597
0.500 0.000 0.403
0.500 0.500 0.500
0.000 0.000 0.000
0.000 0.000 0.500
0.000 0.500 0.860
0.500 0.000 0.140
0.500 0.500 0.000
```

Properties
Mass density = 9.90 g/cm³
Electronic total energy = -39.0 eV per cell